1.
# ScTa2Pd2

ScTa2Pd2 after structural relaxation (PBE, the Alexandria database).

a = 7.6749 Å, b = 7.6749 Å, c = 3.0818 Å
α = 90.00°, β = 90.00°, γ = 90.00°
Element x y z (fractional)
Sc (0.0000, 0.0000, 0.0000)
Sc (0.5000, 0.5000, 0.0000)
Pd (0.3752, 0.8752, 0.0000)
Pd (0.8752, 0.6248, 0.0000)
Pd (0.6248, 0.1248, 0.0000)
Pd (0.1248, 0.3752, 0.0000)
Ta (0.1732, 0.6732, 0.5000)
Ta (0.6732, 0.8268, 0.5000)
Ta (0.8268, 0.3268, 0.5000)
Ta (0.3268, 0.1732, 0.5000)

Computed properties:
DOS at the Fermi energy   1.358 states/eV per atom
Total DFT energy (no corrections)   -82.194 eV/cell
Formation enthalpy at 0 K   -0.135 eV per atom

2.
# ScTaPd6

ScTaPd6 after structural relaxation (PBE, the Alexandria database).

a = 3.9810 Å, b = 3.9810 Å, c = 7.9837 Å
α = 90.00°, β = 90.00°, γ = 90.00°
Element x y z (fractional)
Sc (0.0000, 0.0000, 0.0000)
Ta (0.0000, 0.0000, 0.5000)
Pd (0.5000, 0.5000, 0.0000)
Pd (0.5000, 0.5000, 0.5000)
Pd (0.5000, 0.0000, 0.2579)
Pd (0.5000, 0.0000, 0.7421)
Pd (0.0000, 0.5000, 0.2579)
Pd (0.0000, 0.5000, 0.7421)

Computed properties:
DOS at the Fermi energy   0.258 states/eV per atom
Total DFT energy (no corrections)   -54.744 eV/cell
Formation enthalpy at 0 K   -0.675 eV per atom

3.
# Sc2TaTcPd

Sc2TaTcPd after structural relaxation (PBE, the Alexandria database).

a = 5.1240 Å, b = 4.5608 Å, c = 5.1240 Å
α = 90.00°, β = 90.00°, γ = 90.00°
Last column: magnetic moment on the atom in μB.
Element x y z (fractional)
Sc (0.0000, 0.0000, 0.5000)  0.00
Sc (0.5000, 0.0000, 0.0000)  0.00
Tc (0.0000, 0.5000, 0.0000)  0.29
Pd (0.5000, 0.5000, 0.5000)  0.02
Ta (0.0000, 0.0000, 0.0000)  -0.01

Computed properties:
DOS at the Fermi energy   1.135 states/eV per atom
Total DFT energy (no corrections)   -35.170 eV/cell
Formation enthalpy at 0 K   0.981 eV per atom

Copy entry 2 word for word.
# ScTaPd6

ScTaPd6 after structural relaxation (PBE, the Alexandria database).

a = 3.9810 Å, b = 3.9810 Å, c = 7.9837 Å
α = 90.00°, β = 90.00°, γ = 90.00°
Element x y z (fractional)
Sc (0.0000, 0.0000, 0.0000)
Ta (0.0000, 0.0000, 0.5000)
Pd (0.5000, 0.5000, 0.0000)
Pd (0.5000, 0.5000, 0.5000)
Pd (0.5000, 0.0000, 0.2579)
Pd (0.5000, 0.0000, 0.7421)
Pd (0.0000, 0.5000, 0.2579)
Pd (0.0000, 0.5000, 0.7421)

Computed properties:
DOS at the Fermi energy   0.258 states/eV per atom
Total DFT energy (no corrections)   -54.744 eV/cell
Formation enthalpy at 0 K   -0.675 eV per atom